*A*
## PmPuHg3 (GGA-PBE)

Data for a relaxed structure of PmPuHg3.

Computed properties:
Crystal system: orthorhombic

```
data_PmPuHg3
_chemical_formula_sum 'Pm4 Pu4 Hg12'
_cell_length_a 3.409
_cell_length_b 29.946
_cell_length_c 5.024
_cell_angle_alpha 90.00
_cell_angle_beta 90.00
_cell_angle_gamma 90.00
_symmetry_space_group_name_H-M 'C m c m'
_symmetry_Int_Tables_number 63
_symmetry_space_group_name_Hall '-C 2c 2'
loop_
_atom_site_label
_atom_site_fract_x
_atom_site_fract_y
_atom_site_fract_z
_atom_site_occupancy
Pm1 0.000 0.074 0.250 1
Pu1 0.000 0.216 0.750 1
Hg1 0.000 0.325 0.750 1
Hg2 0.000 0.379 0.250 1
Hg3 0.000 0.476 0.250 1
```

***

*B*
## PmPuHg3 (GGA-PBE)

Data for a relaxed structure of PmPuHg3.

Computed properties:
Crystal system: monoclinic

```
data_PmPuHg3
_chemical_formula_sum 'Pm4 Pu4 Hg12'
_cell_length_a 8.271
_cell_length_b 6.598
_cell_length_c 10.609
_cell_angle_alpha 90.00
_cell_angle_beta 115.33
_cell_angle_gamma 90.00
_symmetry_space_group_name_H-M 'P 1 21/c 1'
_symmetry_Int_Tables_number 14
loop_
_symmetry_equiv_pos_as_xyz
'x,y,z'
'-x,-y,-z'
'-x,y+1/2,-z+1/2'
'x,-y+1/2,z+1/2'
loop_
_atom_site_label
_atom_site_fract_x
_atom_site_fract_y
_atom_site_fract_z
_atom_site_occupancy
Pm1 0.190 0.173 0.048 1
Pu1 0.385 0.613 0.859 1
Hg1 0.010 0.581 0.252 1
Hg2 0.213 0.657 0.070 1
Hg3 0.418 0.114 0.855 1
```

***

Most stable structure - *A*; separation to the second - 5.3 kJ/mol of atoms.

***

*A*
## PmPu2Hg (GGA-PBE)

Data for a relaxed structure of PmPu2Hg.

Computed properties:
Crystal system: cubic

```
data_PmPu2Hg
_chemical_formula_sum 'Pm4 Pu8 Hg4'
_cell_length_a 7.570
_cell_length_b 7.570
_cell_length_c 7.570
_cell_angle_alpha 90.00
_cell_angle_beta 90.00
_cell_angle_gamma 90.00
_symmetry_space_group_name_H-M 'F m -3 m'
_symmetry_Int_Tables_number 225
_symmetry_space_group_name_Hall '-F 4 2 3'
loop_
_atom_site_label
_atom_site_fract_x
_atom_site_fract_y
_atom_site_fract_z
_atom_site_occupancy
Pm1 0.000 0.000 0.000 1
Pu1 0.250 0.250 0.250 1
Hg1 0.000 0.000 0.500 1
```

***

*B*
## PmPu2Hg (GGA-PBE)

Data for a relaxed structure of PmPu2Hg.

Computed properties:
Crystal system: tetragonal

```
data_PmPu2Hg
_chemical_formula_sum 'Pm1 Pu2 Hg1'
_cell_length_a 4.518
_cell_length_b 4.518
_cell_length_c 5.301
_cell_angle_alpha 90.00
_cell_angle_beta 90.00
_cell_angle_gamma 90.00
_symmetry_space_group_name_H-M 'P 4/m m m'
_symmetry_Int_Tables_number 123
_symmetry_space_group_name_Hall '-P 4 2'
loop_
_atom_site_label
_atom_site_fract_x
_atom_site_fract_y
_atom_site_fract_z
_atom_site_occupancy
Pm1 0.000 0.000 0.000 1
Pu1 0.000 0.500 0.500 1
Hg1 0.500 0.500 0.000 1
```

***

Most stable structure - *B*; separation to the second - 16.6 kJ/mol of atoms.

***

*A*
## PmPuHgRh (GGA-PBE)

Data for a relaxed structure of PmPuHgRh.

Computed properties:
Crystal system: tetragonal

```
data_PmPuHgRh
_chemical_formula_sum 'Pm1 Pu1 Hg1 Rh1'
_cell_length_a 3.541
_cell_length_b 3.541
_cell_length_c 7.666
_cell_angle_alpha 90.00
_cell_angle_beta 90.00
_cell_angle_gamma 90.00
_symmetry_space_group_name_H-M 'P 4 m m'
_symmetry_Int_Tables_number 99
loop_
_symmetry_equiv_pos_as_xyz
'x,y,z'
'-y,x,z'
'-x,-y,z'
'y,-x,z'
'-x,y,z'
'y,x,z'
'x,-y,z'
'-y,-x,z'
loop_
_atom_site_label
_atom_site_fract_x
_atom_site_fract_y
_atom_site_fract_z
_atom_site_occupancy
Pm1 0.000 0.000 0.000 1
Pu1 0.000 0.000 0.564 1
Hg1 0.500 0.500 0.282 1
Rh1 0.500 0.500 0.774 1
```

***

*B*
## PmPuHgRh (GGA-PBE)

Data for a relaxed structure of PmPuHgRh.

Computed properties:
Crystal system: cubic

```
data_PmPuHgRh
_chemical_formula_sum 'Pm4 Pu4 Hg4 Rh4'
_cell_length_a 7.266
_cell_length_b 7.266
_cell_length_c 7.266
_cell_angle_alpha 90.00
_cell_angle_beta 90.00
_cell_angle_gamma 90.00
_symmetry_space_group_name_H-M 'F -4 3 m'
_symmetry_Int_Tables_number 216
_symmetry_space_group_name_Hall 'F -4 2 3'
loop_
_atom_site_label
_atom_site_fract_x
_atom_site_fract_y
_atom_site_fract_z
_atom_site_occupancy
Pm1 0.000 0.000 0.000 1
Pu1 0.000 0.000 0.500 1
Hg1 0.250 0.250 0.250 1
Rh1 0.250 0.250 0.750 1
```

***

Most stable structure - *A*; separation to the second - 9.6 kJ/mol of atoms.